1.
# Si3OsO4 PBE relaxed
# crystal system: cubic
# space-group type: Pm-3m
# V: 91 Å³/cell
# ρ: 6.190 g/cm³
# DFT total energy: -5.8900 eV per atom
data_Si3OsO4
_chemical_formula_sum 'Si3 Os1 O4'
_cell_length_a 4.4947
_cell_length_b 4.4947
_cell_length_c 4.4947
_cell_angle_alpha 90.00
_cell_angle_beta 90.00
_cell_angle_gamma 90.00
_space_group_name_H-M_alt 'P 1'
_space_group_IT_number 1
loop_
_space_group_symop_operation_xyz
'x,y,z'
loop_
_atom_site_label
_atom_site_type_symbol
_atom_site_fract_x
_atom_site_fract_y
_atom_site_fract_z
Si1 Si 0.5000 0.5000 0.0000
O1 O 0.5000 0.5000 0.5000
Os1 Os 0.0000 0.0000 0.0000
O2 O 0.5000 0.0000 0.0000
Si2 Si 0.0000 0.5000 0.5000
Si3 Si 0.5000 0.0000 0.5000
O3 O 0.0000 0.5000 0.0000
O4 O 0.0000 0.0000 0.5000


2.
# Er2CdSe4 PBE relaxed
# crystal system: cubic
# space-group type: Fd-3m
# V: 402 Å³/cell
# ρ: 6.305 g/cm³
# DFT total energy: -4.9424 eV per atom
data_Er2CdSe4
_chemical_formula_sum 'Er4 Cd2 Se8'
_cell_length_a 8.2824
_cell_length_b 8.2824
_cell_length_c 8.2824
_cell_angle_alpha 120.00
_cell_angle_beta 90.00
_cell_angle_gamma 120.00
_space_group_name_H-M_alt 'P 1'
_space_group_IT_number 1
loop_
_space_group_symop_operation_xyz
'x,y,z'
loop_
_atom_site_label
_atom_site_type_symbol
_atom_site_fract_x
_atom_site_fract_y
_atom_site_fract_z
Er1 Er 0.8750 0.2500 0.6250
Se1 Se 0.6175 0.2350 0.8525
Se2 Se 0.6175 0.7650 0.3825
Er2 Er 0.3750 0.7500 0.6250
Se3 Se 0.1325 0.2650 0.8675
Se4 Se 0.6175 0.2350 0.3825
Se5 Se 0.1325 0.2650 0.3975
Se6 Se 0.1475 0.7650 0.3825
Se7 Se 0.6025 0.7350 0.8675
Er3 Er 0.3750 0.7500 0.1250
Se8 Se 0.1325 0.7350 0.8675
Er4 Er 0.3750 0.2500 0.6250
Cd1 Cd 0.0000 0.0000 0.0000
Cd2 Cd 0.7500 0.5000 0.2500


3.
# Sc2Ag2Ge PBE relaxed
# crystal system: tetragonal
# space-group type: I4/mmm
# V: 98 Å³/cell
# ρ: 6.395 g/cm³
# DFT total energy: -4.5540 eV per atom
data_Sc2Ag2Ge
_chemical_formula_sum 'Sc2 Ag2 Ge1'
_cell_length_a 7.1959
_cell_length_b 7.1959
_cell_length_c 7.1959
_cell_angle_alpha 149.05
_cell_angle_beta 149.05
_cell_angle_gamma 44.33
_space_group_name_H-M_alt 'P 1'
_space_group_IT_number 1
loop_
_space_group_symop_operation_xyz
'x,y,z'
loop_
_atom_site_label
_atom_site_type_symbol
_atom_site_fract_x
_atom_site_fract_y
_atom_site_fract_z
Sc1 Sc 0.4039 0.4039 0.0000
Ge1 Ge 0.0000 0.0000 0.0000
Ag1 Ag 0.7500 0.2500 0.5000
Ag2 Ag 0.2500 0.7500 0.5000
Sc2 Sc 0.5961 0.5961 0.0000


4.
# BaRePO PBE relaxed
# energy above the most stable polymorph in this dataset: 0.094 eV per atom
# crystal system: orthorhombic
# space-group type: Pmc2_1
# V: 166 Å³/cell
# ρ: 7.425 g/cm³
# DFT total energy: -7.0695 eV per atom
data_BaRePO
_chemical_formula_sum 'Ba2 Re2 P2 O2'
_cell_length_a 3.8916
_cell_length_b 5.5220
_cell_length_c 7.7118
_cell_angle_alpha 90.00
_cell_angle_beta 90.00
_cell_angle_gamma 90.00
_space_group_name_H-M_alt 'P 1'
_space_group_IT_number 1
loop_
_space_group_symop_operation_xyz
'x,y,z'
loop_
_atom_site_label
_atom_site_type_symbol
_atom_site_fract_x
_atom_site_fract_y
_atom_site_fract_z
O1 O 0.0000 0.2179 0.4494
Re1 Re 0.5000 0.1768 0.4572
Re2 Re 0.5000 0.8232 0.9572
P1 P 0.5000 0.1326 0.7574
O2 O 0.0000 0.7821 0.9494
P2 P 0.5000 0.8674 0.2574
Ba1 Ba 0.0000 0.3158 0.0899
Ba2 Ba 0.0000 0.6842 0.5899


5.
# LuTaCuIr PBE relaxed
# energy above the most stable polymorph in this dataset: 0.000 eV per atom
# crystal system: cubic
# space-group type: F-43m
# V: 69 Å³/cell
# ρ: 14.699 g/cm³
# DFT total energy: -7.5486 eV per atom
data_LuTaCuIr
_chemical_formula_sum 'Lu1 Ta1 Cu1 Ir1'
_cell_length_a 4.6061
_cell_length_b 4.6061
_cell_length_c 4.6061
_cell_angle_alpha 60.00
_cell_angle_beta 60.00
_cell_angle_gamma 60.00
_space_group_name_H-M_alt 'P 1'
_space_group_IT_number 1
loop_
_space_group_symop_operation_xyz
'x,y,z'
loop_
_atom_site_label
_atom_site_type_symbol
_atom_site_fract_x
_atom_site_fract_y
_atom_site_fract_z
Ta1 Ta 0.0000 0.0000 0.0000
Ir1 Ir 0.2500 0.2500 0.2500
Cu1 Cu 0.7500 0.7500 0.7500
Lu1 Lu 0.5000 0.5000 0.5000


6.
# Zn2BiPd PBE relaxed
# crystal system: cubic
# space-group type: F-43m
# V: 76 Å³/cell
# ρ: 9.706 g/cm³
# DFT total energy: -2.9128 eV per atom
data_Zn2BiPd
_chemical_formula_sum 'Zn2 Bi1 Pd1'
_cell_length_a 4.7617
_cell_length_b 4.7617
_cell_length_c 4.7617
_cell_angle_alpha 60.00
_cell_angle_beta 60.00
_cell_angle_gamma 60.00
_space_group_name_H-M_alt 'P 1'
_space_group_IT_number 1
loop_
_space_group_symop_operation_xyz
'x,y,z'
loop_
_atom_site_label
_atom_site_type_symbol
_atom_site_fract_x
_atom_site_fract_y
_atom_site_fract_z
Zn1 Zn 0.7500 0.7500 0.7500
Bi1 Bi 0.5000 0.5000 0.5000
Zn2 Zn 0.0000 0.0000 0.0000
Pd1 Pd 0.2500 0.2500 0.2500


7.
# LuSc3C2S2 PBE relaxed
# crystal system: trigonal
# space-group type: P3m1
# V: 128 Å³/cell
# ρ: 5.178 g/cm³
# DFT total energy: -7.5861 eV per atom
data_LuSc3C2S2
_chemical_formula_sum 'Lu1 Sc3 C2 S2'
_cell_length_a 3.4905
_cell_length_b 3.4905
_cell_length_c 12.0956
_cell_angle_alpha 90.00
_cell_angle_beta 90.00
_cell_angle_gamma 120.00
_space_group_name_H-M_alt 'P 1'
_space_group_IT_number 1
loop_
_space_group_symop_operation_xyz
'x,y,z'
loop_
_atom_site_label
_atom_site_type_symbol
_atom_site_fract_x
_atom_site_fract_y
_atom_site_fract_z
Sc1 Sc 0.3333 0.6667 0.3973
S1 S 0.3333 0.6667 0.7431
Sc2 Sc 0.0000 0.0000 0.5986
C1 C 0.6667 0.3333 0.4982
C2 C 0.6667 0.3333 0.0056
Sc3 Sc 0.3333 0.6667 0.1071
Lu1 Lu 0.0000 0.0000 0.8977
S2 S 0.0000 0.0000 0.2524


8.
# CsAg5TeS2 PBE relaxed
# crystal system: tetragonal
# space-group type: P4/mmm
# V: 215 Å³/cell
# ρ: 6.674 g/cm³
# DFT total energy: -3.1726 eV per atom
data_CsAg5TeS2
_chemical_formula_sum 'Cs1 Ag5 Te1 S2'
_cell_length_a 4.2710
_cell_length_b 4.2710
_cell_length_c 11.7844
_cell_angle_alpha 90.00
_cell_angle_beta 90.00
_cell_angle_gamma 90.00
_space_group_name_H-M_alt 'P 1'
_space_group_IT_number 1
loop_
_space_group_symop_operation_xyz
'x,y,z'
loop_
_atom_site_label
_atom_site_type_symbol
_atom_site_fract_x
_atom_site_fract_y
_atom_site_fract_z
S1 S 0.0000 0.0000 0.6788
Ag1 Ag 0.5000 0.0000 0.8041
Ag2 Ag 0.5000 0.0000 0.1959
Te1 Te 0.0000 0.0000 0.0000
Cs1 Cs 0.5000 0.5000 0.5000
Ag3 Ag 0.0000 0.5000 0.8041
Ag4 Ag 0.0000 0.5000 0.1959
S2 S 0.0000 0.0000 0.3212
Ag5 Ag 0.5000 0.5000 0.0000


9.
# ErPaSn PBE relaxed
# energy above the most stable polymorph in this dataset: 0.000 eV per atom
# crystal system: cubic
# space-group type: F-43m
# V: 94 Å³/cell
# ρ: 9.173 g/cm³
# DFT total energy: -5.8069 eV per atom
data_ErPaSn
_chemical_formula_sum 'Er1 Pa1 Sn1'
_cell_length_a 5.0963
_cell_length_b 5.0963
_cell_length_c 5.0963
_cell_angle_alpha 60.00
_cell_angle_beta 60.00
_cell_angle_gamma 60.00
_space_group_name_H-M_alt 'P 1'
_space_group_IT_number 1
loop_
_space_group_symop_operation_xyz
'x,y,z'
loop_
_atom_site_label
_atom_site_type_symbol
_atom_site_fract_x
_atom_site_fract_y
_atom_site_fract_z
Sn1 Sn 0.2500 0.2500 0.2500
Pa1 Pa 0.0000 0.0000 0.0000
Er1 Er 0.5000 0.5000 0.5000


10.
# TaBeCuPb PBE relaxed
# energy above the most stable polymorph in this dataset: 0.000 eV per atom
# crystal system: cubic
# space-group type: F-43m
# V: 66 Å³/cell
# ρ: 11.596 g/cm³
# DFT total energy: -4.9796 eV per atom
data_TaBeCuPb
_chemical_formula_sum 'Ta1 Be1 Cu1 Pb1'
_cell_length_a 4.5356
_cell_length_b 4.5356
_cell_length_c 4.5356
_cell_angle_alpha 60.00
_cell_angle_beta 60.00
_cell_angle_gamma 60.00
_space_group_name_H-M_alt 'P 1'
_space_group_IT_number 1
loop_
_space_group_symop_operation_xyz
'x,y,z'
loop_
_atom_site_label
_atom_site_type_symbol
_atom_site_fract_x
_atom_site_fract_y
_atom_site_fract_z
Pb1 Pb 0.0000 0.0000 0.0000
Ta1 Ta 0.5000 0.5000 0.5000
Cu1 Cu 0.7500 0.7500 0.7500
Be1 Be 0.2500 0.2500 0.2500


11.
# KTmCo PBE relaxed
# energy above the most stable polymorph in this dataset: 0.000 eV per atom
# crystal system: cubic
# space-group type: F-43m
# V: 82 Å³/cell
# ρ: 5.431 g/cm³
# DFT total energy: -3.3213 eV per atom
data_KTmCo
_chemical_formula_sum 'K1 Tm1 Co1'
_cell_length_a 4.8690
_cell_length_b 4.8690
_cell_length_c 4.8690
_cell_angle_alpha 60.00
_cell_angle_beta 60.00
_cell_angle_gamma 60.00
_space_group_name_H-M_alt 'P 1'
_space_group_IT_number 1
loop_
_space_group_symop_operation_xyz
'x,y,z'
loop_
_atom_site_label
_atom_site_type_symbol
_atom_site_fract_x
_atom_site_fract_y
_atom_site_fract_z
Tm1 Tm 0.7500 0.7500 0.7500
K1 K 0.2500 0.2500 0.2500
Co1 Co 0.0000 0.0000 0.0000


12.
# Gd2AgSb4Au PBE relaxed
# crystal system: tetragonal
# space-group type: P-4m2
# V: 197 Å³/cell
# ρ: 9.314 g/cm³
# DFT total energy: -4.6516 eV per atom
data_Gd2AgSb4Au
_chemical_formula_sum 'Gd2 Ag1 Sb4 Au1'
_cell_length_a 4.3831
_cell_length_b 4.3831
_cell_length_c 10.2671
_cell_angle_alpha 90.00
_cell_angle_beta 90.00
_cell_angle_gamma 90.00
_space_group_name_H-M_alt 'P 1'
_space_group_IT_number 1
loop_
_space_group_symop_operation_xyz
'x,y,z'
loop_
_atom_site_label
_atom_site_type_symbol
_atom_site_fract_x
_atom_site_fract_y
_atom_site_fract_z
Sb1 Sb 0.0000 0.0000 0.5000
Sb2 Sb 0.5000 0.0000 0.1851
Sb3 Sb 0.5000 0.5000 0.5000
Gd1 Gd 0.0000 0.5000 0.2591
Sb4 Sb 0.0000 0.5000 0.8149
Gd2 Gd 0.5000 0.0000 0.7409
Au1 Au 0.5000 0.5000 0.0000
Ag1 Ag 0.0000 0.0000 0.0000


Which formula does entry 7 have?
LuSc3C2S2


What is the formula in the seventh record?
LuSc3C2S2